Entry from Alexandria: a geometry-optimized Sc2InGe structure (PBE-GGA).

CIF file:
```
data_Sc2InGe
_space_group_name_H-M_alt 'R -3 m'
_space_group_IT_number 166
_space_group_name_Hall '-R 3 2"'
_cell_length_a 3.8121
_cell_length_b 3.8121
_cell_length_c 27.1524
_cell_angle_alpha 90.00
_cell_angle_beta 90.00
_cell_angle_gamma 120.00
loop_
_atom_site_label
_atom_site_type_symbol
_atom_site_fract_x
_atom_site_fract_y
_atom_site_fract_z
Sc1 Sc 0.0000 0.0000 0.1123
In1 In 0.0000 0.0000 0.0000
Ge1 Ge 0.0000 0.0000 0.5000
```

Summary:
Volume = 113.9 Å³/f.u.
E = -5.1150 eV/atom
Calculated formation energy = -0.110 eV/atom